Entry 1:
# MnZn2Au2 | Alexandria | PBE | relaxed
data_MnZn2Au2
_chemical_formula_sum 'Mn2 Zn4 Au4'
_cell_length_a 7.306
_cell_length_b 7.306
_cell_length_c 3.115
_cell_angle_alpha 90.00
_cell_angle_beta 90.00
_cell_angle_gamma 90.00
_symmetry_space_group_name_H-M 'P 1'
_symmetry_Int_Tables_number 1
loop_
_symmetry_equiv_pos_as_xyz
'x,y,z'
loop_
_atom_site_label
_atom_site_type_symbol
_atom_site_fract_x
_atom_site_fract_y
_atom_site_fract_z
Mn1 Mn 0.000 0.000 0.000
Mn2 Mn 0.500 0.500 0.000
Zn1 Zn 0.125 0.375 0.000
Zn2 Zn 0.375 0.875 0.000
Zn3 Zn 0.625 0.125 0.000
Zn4 Zn 0.875 0.625 0.000
Au1 Au 0.174 0.674 0.500
Au2 Au 0.326 0.174 0.500
Au3 Au 0.674 0.826 0.500
Au4 Au 0.826 0.326 0.500
# symmetry	No. 127
# energy	-3.67	eV per atom
# energy relative to the lowest polymorph listed for this composition	88.2	meV/atom
# density	11.6	g cm⁻³

Entry 2:
# HfAsPd | Alexandria | PBE | relaxed
data_HfAsPd
_chemical_formula_sum 'Hf6 As6 Pd6'
_cell_length_a 6.857
_cell_length_b 3.886
_cell_length_c 11.659
_cell_angle_alpha 90.00
_cell_angle_beta 91.10
_cell_angle_gamma 90.00
_symmetry_space_group_name_H-M 'P 1'
_symmetry_Int_Tables_number 1
loop_
_symmetry_equiv_pos_as_xyz
'x,y,z'
loop_
_atom_site_label
_atom_site_type_symbol
_atom_site_fract_x
_atom_site_fract_y
_atom_site_fract_z
Hf1 Hf 0.038 0.250 0.112
Hf2 Hf 0.169 0.250 0.420
Hf3 Hf 0.444 0.750 0.788
Hf4 Hf 0.556 0.250 0.212
Hf5 Hf 0.831 0.750 0.580
Hf6 Hf 0.962 0.750 0.888
As1 As 0.239 0.750 0.585
As2 As 0.249 0.250 0.905
As3 As 0.255 0.750 0.249
As4 As 0.745 0.250 0.751
As5 As 0.751 0.750 0.095
As6 As 0.761 0.250 0.415
Pd1 Pd 0.094 0.250 0.699
Pd2 Pd 0.354 0.750 0.043
Pd3 Pd 0.498 0.250 0.590
Pd4 Pd 0.502 0.750 0.410
Pd5 Pd 0.646 0.250 0.957
Pd6 Pd 0.906 0.750 0.301
# symmetry	No. 11
# energy	-7.40	eV per atom
# density	11.5	g cm⁻³

Entry 3:
# Nd5Sc2In5 | Alexandria | PBE | relaxed
data_Nd5Sc2In5
_chemical_formula_sum 'Nd5 Sc2 In5'
_cell_length_a 5.677
_cell_length_b 5.677
_cell_length_c 13.293
_cell_angle_alpha 103.72
_cell_angle_beta 103.72
_cell_angle_gamma 56.37
_symmetry_space_group_name_H-M 'P 1'
_symmetry_Int_Tables_number 1
loop_
_symmetry_equiv_pos_as_xyz
'x,y,z'
loop_
_atom_site_label
_atom_site_type_symbol
_atom_site_fract_x
_atom_site_fract_y
_atom_site_fract_z
Nd1 Nd 0.000 0.000 0.000
Nd2 Nd 0.351 0.351 0.513
Nd3 Nd 0.425 0.425 0.189
Nd4 Nd 0.575 0.575 0.811
Nd5 Nd 0.649 0.649 0.487
Sc1 Sc 0.198 0.198 0.704
Sc2 Sc 0.802 0.802 0.296
In1 In 0.000 0.000 0.500
In2 In 0.124 0.124 0.284
In3 In 0.297 0.297 0.932
In4 In 0.703 0.703 0.068
In5 In 0.876 0.876 0.716
# symmetry	No. 12
# energy	-4.49	eV per atom
# density	6.7	g cm⁻³

Entry 4:
# Np2Pd4Se5 | Alexandria | PBE | relaxed
data_Np2Pd4Se5
_chemical_formula_sum 'Np2 Pd4 Se5'
_cell_length_a 16.798
_cell_length_b 16.798
_cell_length_c 16.798
_cell_angle_alpha 14.14
_cell_angle_beta 14.14
_cell_angle_gamma 14.14
_symmetry_space_group_name_H-M 'P 1'
_symmetry_Int_Tables_number 1
loop_
_symmetry_equiv_pos_as_xyz
'x,y,z'
loop_
_atom_site_label
_atom_site_type_symbol
_atom_site_fract_x
_atom_site_fract_y
_atom_site_fract_z
Np1 Np 0.132 0.132 0.132
Np2 Np 0.868 0.868 0.868
Pd1 Pd 0.317 0.317 0.317
Pd2 Pd 0.420 0.420 0.420
Pd3 Pd 0.580 0.580 0.580
Pd4 Pd 0.683 0.683 0.683
Se1 Se 0.233 0.233 0.233
Se2 Se 0.369 0.369 0.369
Se3 Se 0.500 0.500 0.500
Se4 Se 0.631 0.631 0.631
Se5 Se 0.767 0.767 0.767
# symmetry	No. 166
# energy	-6.40	eV per atom
# density	8.7	g cm⁻³

Entry 5:
# TlCd6In2 | Alexandria | PBE | relaxed
data_TlCd6In2
_chemical_formula_sum 'Tl1 Cd6 In2'
_cell_length_a 7.439
_cell_length_b 7.439
_cell_length_c 4.398
_cell_angle_alpha 95.56
_cell_angle_beta 95.56
_cell_angle_gamma 83.41
_symmetry_space_group_name_H-M 'P 1'
_symmetry_Int_Tables_number 1
loop_
_symmetry_equiv_pos_as_xyz
'x,y,z'
loop_
_atom_site_label
_atom_site_type_symbol
_atom_site_fract_x
_atom_site_fract_y
_atom_site_fract_z
Tl1 Tl 0.000 0.000 0.000
Cd1 Cd 0.083 0.391 0.243
Cd2 Cd 0.243 0.757 0.500
Cd3 Cd 0.391 0.083 0.243
Cd4 Cd 0.609 0.917 0.757
Cd5 Cd 0.757 0.243 0.500
Cd6 Cd 0.917 0.609 0.757
In1 In 0.381 0.381 0.792
In2 In 0.619 0.619 0.208
# symmetry	No. 12
# energy	-1.40	eV per atom
# energy relative to the lowest polymorph listed for this composition	21.9	meV/atom
# density	7.7	g cm⁻³

Entry 6:
# Tl3Sn4Au3 | Alexandria | PBE | relaxed
data_Tl3Sn4Au3
_chemical_formula_sum 'Tl6 Sn8 Au6'
_cell_length_a 8.845
_cell_length_b 8.845
_cell_length_c 8.845
_cell_angle_alpha 109.47
_cell_angle_beta 109.47
_cell_angle_gamma 109.47
_symmetry_space_group_name_H-M 'P 1'
_symmetry_Int_Tables_number 1
loop_
_symmetry_equiv_pos_as_xyz
'x,y,z'
loop_
_atom_site_label
_atom_site_type_symbol
_atom_site_fract_x
_atom_site_fract_y
_atom_site_fract_z
Tl1 Tl 0.125 0.750 0.875
Tl2 Tl 0.250 0.625 0.375
Tl3 Tl 0.375 0.250 0.625
Tl4 Tl 0.625 0.375 0.250
Tl5 Tl 0.750 0.875 0.125
Tl6 Tl 0.875 0.125 0.750
Sn1 Sn 0.000 0.331 0.500
Sn2 Sn 0.000 0.831 0.500
Sn3 Sn 0.169 0.169 0.169
Sn4 Sn 0.331 0.500 0.000
Sn5 Sn 0.500 0.000 0.331
Sn6 Sn 0.500 0.000 0.831
Sn7 Sn 0.669 0.669 0.669
Sn8 Sn 0.831 0.500 0.000
Au1 Au 0.125 0.875 0.250
Au2 Au 0.250 0.125 0.875
Au3 Au 0.375 0.625 0.750
Au4 Au 0.625 0.750 0.375
Au5 Au 0.750 0.375 0.625
Au6 Au 0.875 0.250 0.125
# symmetry	No. 220
# energy	-3.31	eV per atom
# density	10.5	g cm⁻³

Entry 7:
# NdPuBrO4 | Alexandria | PBE | relaxed
data_NdPuBrO4
_chemical_formula_sum 'Nd2 Pu2 Br2 O8'
_cell_length_a 7.308
_cell_length_b 7.308
_cell_length_c 6.713
_cell_angle_alpha 108.10
_cell_angle_beta 108.10
_cell_angle_gamma 58.94
_symmetry_space_group_name_H-M 'P 1'
_symmetry_Int_Tables_number 1
loop_
_symmetry_equiv_pos_as_xyz
'x,y,z'
loop_
_atom_site_label
_atom_site_type_symbol
_atom_site_fract_x
_atom_site_fract_y
_atom_site_fract_z
Nd1 Nd 0.221 0.221 0.085
Nd2 Nd 0.779 0.779 0.915
Pu1 Pu 0.376 0.376 0.775
Pu2 Pu 0.624 0.624 0.225
Br1 Br 0.028 0.028 0.266
Br2 Br 0.972 0.972 0.734
O1 O 0.074 0.452 0.810
O2 O 0.333 0.333 0.479
O3 O 0.426 0.426 0.089
O4 O 0.452 0.074 0.810
O5 O 0.548 0.926 0.190
O6 O 0.574 0.574 0.911
O7 O 0.667 0.667 0.521
O8 O 0.926 0.548 0.190
# symmetry	No. 12
# energy	-8.25	eV per atom
# density	6.2	g cm⁻³

Entry 8:
# Sr2TbTl4 | Alexandria | PBE | relaxed
data_Sr2TbTl4
_chemical_formula_sum 'Sr2 Tb1 Tl4'
_cell_length_a 8.676
_cell_length_b 8.676
_cell_length_c 8.676
_cell_angle_alpha 143.10
_cell_angle_beta 143.10
_cell_angle_gamma 53.18
_symmetry_space_group_name_H-M 'P 1'
_symmetry_Int_Tables_number 1
loop_
_symmetry_equiv_pos_as_xyz
'x,y,z'
loop_
_atom_site_label
_atom_site_type_symbol
_atom_site_fract_x
_atom_site_fract_y
_atom_site_fract_z
Sr1 Sr 0.245 0.245 0.000
Sr2 Sr 0.755 0.755 0.000
Tb1 Tb 0.500 0.500 0.000
Tl1 Tl 0.105 0.605 0.500
Tl2 Tl 0.395 0.895 0.500
Tl3 Tl 0.605 0.105 0.500
Tl4 Tl 0.895 0.395 0.500
# symmetry	No. 139
# energy	-2.77	eV per atom
# density	8.2	g cm⁻³